Entry 1:
DFT (SCAN) results for a crystal of Tl2V8O21 relaxed with PBEsol.

Properties
crystal system	monoclinic
final energy	-488.78	eV/cell
magnetic moment	0.0000	μB/atom

Geometry as POSCAR:
```
Tl2V8O21
1.0
3.5536 0.0000 0.0000
-1.7768 7.5756 -0.0208
0.0000 -0.0632 14.8749
Tl V O
2 8 21
Direct
0.5280 0.0560 0.3123
0.4720 0.9440 0.6877
0.8304 0.6608 0.4766
0.9084 0.8167 0.0738
0.6886 0.3772 0.0719
0.8109 0.6218 0.2689
0.0916 0.1833 0.9262
0.1891 0.3782 0.7311
0.1696 0.3392 0.5234
0.3114 0.6228 0.9281
0.0942 0.1884 0.4465
0.6628 0.3256 0.7412
0.8057 0.6114 0.9665
0.6113 0.2226 0.1441
0.3372 0.6744 0.2588
0.6184 0.2368 0.9523
0.1943 0.3886 0.0335
0.2850 0.5701 0.6866
0.2905 0.5809 0.4713
0.8859 0.7717 0.3745
0.9058 0.8116 0.5535
0.0000 0.0000 0.0000
0.7855 0.5710 0.1403
0.3816 0.7632 0.0477
0.0480 0.0959 0.8265
0.1141 0.2283 0.6255
0.7095 0.4191 0.5287
0.2145 0.4290 0.8597
0.3887 0.7774 0.8559
0.9520 0.9041 0.1735
0.7150 0.4299 0.3134
```

---

Entry 2:
DFT (SCAN) results for a crystal of Tl5V3O10 relaxed with PBEsol.

Properties
crystal system	tetragonal
density of states at the Fermi level	0.00	states/eV/cell
final energy	-2044.41	eV/cell
magnetic moment	0.0000	μB/atom

Geometry as POSCAR:
```
Tl5V3O10
1.0
8.1565 0.0000 0.0000
0.0000 8.1565 0.0000
0.0000 0.0000 19.4211
Tl V O
20 12 40
Direct
0.4721 0.9999 0.1304
0.5279 0.0001 0.6304
0.5001 0.9721 0.3805
0.0279 0.4999 0.1195
0.4999 0.0279 0.8805
0.9721 0.5001 0.6195
0.9999 0.4721 0.8696
0.0001 0.5279 0.3696
0.0052 0.0163 0.1048
0.9948 0.9837 0.6048
0.4837 0.5052 0.3548
0.4948 0.5163 0.1452
0.5163 0.4948 0.8548
0.5052 0.4837 0.6452
0.0163 0.0052 0.8952
0.9837 0.9948 0.3952
0.7470 0.7470 0.0000
0.2530 0.2530 0.5000
0.7530 0.2470 0.2500
0.2470 0.7530 0.7500
0.2307 0.2451 0.2721
0.7693 0.7549 0.7721
0.2549 0.7307 0.5221
0.2693 0.7451 0.9779
0.7451 0.2693 0.0221
0.7307 0.2549 0.4779
0.2451 0.2307 0.7279
0.7549 0.7693 0.2279
0.3119 0.3119 0.0000
0.6881 0.6881 0.5000
0.1882 0.8118 0.2500
0.8118 0.1882 0.7500
0.0750 0.3359 0.2300
0.9250 0.6641 0.7300
0.1641 0.5750 0.4800
0.4250 0.8359 0.0200
0.8359 0.4250 0.9800
0.5750 0.1641 0.5200
0.3359 0.0750 0.7700
0.6641 0.9250 0.2700
0.2135 0.2448 0.0699
0.7865 0.7552 0.5699
0.2552 0.7135 0.3199
0.2865 0.7448 0.1801
0.7448 0.2865 0.8199
0.7135 0.2552 0.6801
0.2448 0.2135 0.9301
0.7552 0.7865 0.4301
0.2084 0.2857 0.3573
0.7916 0.7143 0.8573
0.2143 0.7084 0.6073
0.2916 0.7857 0.8927
0.7857 0.2916 0.1073
0.7084 0.2143 0.3927
0.2857 0.2084 0.6427
0.7143 0.7916 0.1427
0.2284 0.0244 0.2575
0.7716 0.9756 0.7575
0.4756 0.7284 0.5075
0.2716 0.5244 0.9925
0.5244 0.2716 0.0075
0.7284 0.4756 0.4925
0.0244 0.2284 0.7425
0.9756 0.7716 0.2425
0.4128 0.3265 0.2476
0.5872 0.6735 0.7476
0.1735 0.9128 0.4976
0.0872 0.8265 0.0024
0.8265 0.0872 0.9976
0.9128 0.1735 0.5024
0.3265 0.4128 0.7524
0.6735 0.5872 0.2524
```

---

Entry 3:
DFT (SCAN) results for a crystal of TlVO3 relaxed with PBEsol.

Properties
crystal system	orthorhombic
density of states at the Fermi level	0.00	states/eV/cell
final energy	-476.02	eV/cell
magnetic moment	0.0000	μB/atom

Geometry as POSCAR:
```
TlVO3
1.0
5.2257 0.0000 0.0000
0.0000 5.7354 0.0000
0.0000 0.0000 10.8350
Tl V O
4 4 12
Direct
0.9421 0.2500 0.9024
0.9421 0.7500 0.5976
0.0579 0.7500 0.0976
0.0579 0.2500 0.4024
0.4713 0.2500 0.6640
0.4713 0.7500 0.8360
0.5287 0.7500 0.3360
0.5287 0.2500 0.1640
0.4192 0.5000 0.2500
0.5808 0.0000 0.7500
0.5808 0.5000 0.7500
0.4192 0.0000 0.2500
0.5932 0.2500 0.5243
0.5932 0.7500 0.9757
0.4068 0.7500 0.4757
0.4068 0.2500 0.0243
0.8460 0.2500 0.1540
0.8460 0.7500 0.3460
0.1540 0.7500 0.8460
0.1540 0.2500 0.6540
```

---

Entry 4:
DFT (SCAN) results for a crystal of Tl3V5O14 relaxed with PBEsol.

Properties
crystal system	trigonal
density of states at the Fermi level	0.00	states/eV/cell
final energy	-441.06	eV/cell
magnetic moment	0.0000	μB/atom

Geometry as POSCAR:
```
Tl3V5O14
1.0
5.1011 0.0000 0.0000
0.0000 8.6799 0.0000
0.0000 -4.3400 7.5171
Tl V O
3 5 14
Direct
0.2339 0.6114 0.0000
0.2339 0.0000 0.6114
0.2339 0.3886 0.3886
0.7031 0.3333 0.6667
0.7031 0.6667 0.3333
0.7107 0.7717 0.7717
0.7107 0.2283 0.0000
0.7107 0.0000 0.2283
0.0245 0.6667 0.3333
0.0245 0.3333 0.6667
0.0247 0.2462 0.0000
0.0247 0.0000 0.2462
0.0247 0.7538 0.7538
0.6398 0.8331 0.0000
0.6398 0.0000 0.8331
0.6398 0.1669 0.1669
0.5864 0.4612 0.1685
0.5864 0.8315 0.2927
0.5864 0.7073 0.5388
0.5864 0.1685 0.4612
0.5864 0.5388 0.7073
0.5864 0.2927 0.8315
```

---

Entry 5:
DFT (SCAN) results for a crystal of Tl6WO12 relaxed with PBEsol.

Properties
crystal system	trigonal
density of states at the Fermi level	0.21	states/eV/cell
final energy	-598.40	eV/cell
magnetic moment	0.0000	μB/atom

Geometry as POSCAR:
```
Tl6WO12
1.0
6.4510 -0.0038 -0.0046
-0.9490 6.3808 -0.0046
-0.9490 -1.0999 6.2853
Tl W O
6 1 12
Direct
0.6049 0.1350 0.3078
0.6922 0.3951 0.8650
0.8650 0.6922 0.3951
0.1350 0.3078 0.6049
0.3078 0.6049 0.1350
0.3951 0.8650 0.6922
0.0000 0.0000 0.0000
0.9640 0.0894 0.2900
0.7100 0.0360 0.9106
0.8251 0.4004 0.5818
0.4182 0.1749 0.5996
0.9106 0.7100 0.0360
0.5996 0.4182 0.1749
0.4004 0.5818 0.8251
0.0894 0.2900 0.9640
0.5818 0.8251 0.4004
0.1749 0.5996 0.4182
0.2900 0.9640 0.0894
0.0360 0.9106 0.7100
```

---

Entry 6:
DFT (SCAN) results for a crystal of Tl2WO4 relaxed with PBEsol.

Properties
crystal system	trigonal
density of states at the Fermi level	0.00	states/eV/cell
final energy	-502.42	eV/cell
magnetic moment	0.0000	μB/atom

Geometry as POSCAR:
```
Tl2WO4
1.0
6.1751 0.0000 0.0000
-3.0876 5.3478 0.0000
0.0000 0.0000 8.2951
Tl W O
4 2 8
Direct
0.6667 0.3333 0.1786
0.3333 0.6667 0.8214
0.0000 0.0000 0.5000
0.0000 0.0000 0.0000
0.6667 0.3333 0.6833
0.3333 0.6667 0.3167
0.1762 0.3524 0.2418
0.1762 0.8238 0.2418
0.6476 0.8238 0.2418
0.3524 0.1762 0.7582
0.8238 0.1762 0.7582
0.8238 0.6476 0.7582
0.3333 0.6667 0.5332
0.6667 0.3333 0.4668
```

---

Going through the records in order, we get uncorrected formation energy values of -2.364, -1.919, -2.093, -2.241, -1.041, -1.697 eV per atom.